(1)
Computed, not measured: a geometry-optimized CaW3S structure at the PBE-GGA level of DFT.

- E above lowest polymorph (eV/f.u.) = 13.536
- symmetry = Pm-3m (221)
- DOS at the Fermi energy (states/eV/f.u.) = 4.3
- E_form (uncorrected) (eV per formula unit) = 17.53
- uncorrected energy (eV per atom) = -5.492

a = 4.692 Å, b = 4.692 Å, c = 4.692 Å
α = 90.00°, β = 90.00°, γ = 90.00°
Fractional coordinates of all 5 atoms:
W 0.500 0.000 0.000
W 0.000 0.000 0.500
W 0.000 0.500 0.000
S 0.500 0.500 0.500
Ca 0.000 0.000 0.000

(2)
Computed, not measured: a geometry-optimized Tb2Fe3Ge4 structure at the PBE-GGA level of DFT.

- energy of formation (eV/atom) = -0.411
- E above lowest polymorph (eV/f.u.) = 0.112
- symmetry = Fmmm (69)
- DOS at the Fermi energy (states/eV/f.u.) = 5.2
- uncorrected energy (eV per atom) = -6.313

a = 5.376 Å, b = 5.376 Å, c = 6.714 Å
α = 101.13°, β = 101.13°, γ = 121.18°
Fractional coordinates of all 9 atoms:
Ge 0.674 0.013 0.687
Ge 0.013 0.674 0.687
Ge 0.326 0.987 0.313
Ge 0.987 0.326 0.313
Fe 0.000 0.000 0.000
Fe 0.000 0.500 0.000
Fe 0.500 0.000 0.000
Tb 0.636 0.636 0.273
Tb 0.364 0.364 0.727

(3)
Computed, not measured: a geometry-optimized LaAgP2O structure at the PBE-GGA level of DFT.

- E above lowest polymorph (eV/f.u.) = 0.000
- symmetry = P4/mmm (123)
- DOS at the Fermi energy (states/eV/f.u.) = 4.1
- E_form (uncorrected) (eV per formula unit) = -1.18
- uncorrected energy (eV per atom) = -4.947

a = 4.776 Å, b = 4.776 Å, c = 4.317 Å
α = 90.00°, β = 90.00°, γ = 90.00°
Fractional coordinates of all 5 atoms:
P 0.500 0.000 0.000
P 0.000 0.500 0.000
La 0.500 0.500 0.500
Ag 0.000 0.000 0.000
O 0.000 0.000 0.500

(4)
Computed, not measured: a geometry-optimized KSrTa2Pb structure at the PBE-GGA level of DFT.

- energy of formation (eV/atom) = 2.188
- symmetry = P4/mmm (123)
- DOS at the Fermi energy (states/eV/f.u.) = 5.6
- uncorrected energy (eV per atom) = -3.851

a = 4.969 Å, b = 5.818 Å, c = 4.969 Å
α = 90.00°, β = 90.00°, γ = 90.00°
Fractional coordinates of all 5 atoms:
Ta 0.500 0.000 0.000
Ta 0.000 0.000 0.500
Sr 0.500 0.500 0.500
K 0.000 0.000 0.000
Pb 0.000 0.500 0.000

(5)
Computed, not measured: a geometry-optimized Li4Ag3Sn5 structure at the PBE-GGA level of DFT.

- energy of formation (eV/atom) = -0.083
- symmetry = C2/m (12)
- DOS at the Fermi energy (states/eV/f.u.) = 3.2
- uncorrected energy (eV per atom) = -3.102

a = 5.186 Å, b = 7.558 Å, c = 9.711 Å
α = 47.94°, β = 74.51°, γ = 69.94°
Fractional coordinates of all 12 atoms:
Sn 0.238 0.194 0.331
Sn 0.500 0.500 0.500
Sn 0.676 0.519 0.129
Sn 0.324 0.481 0.871
Sn 0.762 0.806 0.669
Ag 0.565 0.032 0.839
Ag 0.000 0.500 0.500
Ag 0.435 0.968 0.161
Li 0.069 0.733 0.128
Li 0.856 0.001 0.287
Li 0.144 0.999 0.713
Li 0.931 0.267 0.872

(6)
Computed, not measured: a geometry-optimized ZnCd2Br structure at the PBE-GGA level of DFT.

- E above lowest polymorph (eV/f.u.) = 0.575
- symmetry = P2/m (10)
- DOS at the Fermi energy (states/eV/f.u.) = 1.8
- E_form (uncorrected) (eV per formula unit) = -0.01
- uncorrected energy (eV per atom) = -1.196

a = 3.633 Å, b = 4.829 Å, c = 5.937 Å
α = 72.49°, β = 90.00°, γ = 90.00°
Fractional coordinates of all 4 atoms:
Br 0.000 0.000 0.500
Cd 0.000 0.000 0.000
Cd 0.500 0.500 0.000
Zn 0.500 0.500 0.500

(7)
Computed, not measured: a geometry-optimized Ac2DySn structure at the PBE-GGA level of DFT.

- energy of formation (eV/atom) = -0.271
- E above lowest polymorph (eV/f.u.) = 0.180
- symmetry = P4/mmm (123)
- DOS at the Fermi energy (states/eV/f.u.) = 4.6
- uncorrected energy (eV per atom) = -4.477

a = 4.440 Å, b = 4.440 Å, c = 7.312 Å
α = 90.00°, β = 90.00°, γ = 90.00°
Fractional coordinates of all 4 atoms:
Sn 0.500 0.500 0.000
Ac 0.000 0.000 0.769
Ac 0.000 0.000 0.231
Dy 0.500 0.500 0.500

(8)
Computed, not measured: a geometry-optimized La5Y6Th2 structure at the PBE-GGA level of DFT.

- energy of formation (eV/atom) = 0.108
- symmetry = Pbam (55)
- DOS at the Fermi energy (states/eV/f.u.) = 20.1
- uncorrected energy (eV per atom) = -5.912

a = 3.634 Å, b = 11.703 Å, c = 21.272 Å
α = 90.00°, β = 90.00°, γ = 90.00°
Fractional coordinates of all 26 atoms:
La 0.500 0.191 0.920
La 0.500 0.560 0.295
La 0.500 0.060 0.205
La 0.500 0.440 0.705
La 0.500 0.000 0.500
La 0.500 0.309 0.420
La 0.500 0.500 0.000
La 0.500 0.809 0.080
La 0.500 0.691 0.580
La 0.500 0.940 0.795
Y 0.500 0.687 0.876
Y 0.000 0.583 0.438
Y 0.000 0.083 0.062
Y 0.000 0.562 0.149
Y 0.000 0.938 0.649
Y 0.000 0.438 0.851
Y 0.500 0.313 0.124
Y 0.000 0.917 0.938
Y 0.000 0.062 0.351
Y 0.500 0.187 0.624
Y 0.000 0.417 0.562
Y 0.500 0.813 0.376
Th 0.000 0.808 0.236
Th 0.000 0.692 0.736
Th 0.000 0.192 0.764
Th 0.000 0.308 0.264

> The highest uncorrected energy belongs to which entry?

ZnCd2Br

Repeat the seventh record exactly.
Computed, not measured: a geometry-optimized Ac2DySn structure at the PBE-GGA level of DFT.

- energy of formation (eV/atom) = -0.271
- E above lowest polymorph (eV/f.u.) = 0.180
- symmetry = P4/mmm (123)
- DOS at the Fermi energy (states/eV/f.u.) = 4.6
- uncorrected energy (eV per atom) = -4.477

a = 4.440 Å, b = 4.440 Å, c = 7.312 Å
α = 90.00°, β = 90.00°, γ = 90.00°
Fractional coordinates of all 4 atoms:
Sn 0.500 0.500 0.000
Ac 0.000 0.000 0.769
Ac 0.000 0.000 0.231
Dy 0.500 0.500 0.500

> What is the DOS at the Fermi energy in the sixth record?

1.8 states/eV/f.u.

> Which of these has the highest uncorrected energy?

ZnCd2Br